(P)
DFT (PBE) results for PaBeAsO after structural relaxation.

The structure in CIF format:
```
data_PaBeAsO
_chemical_formula_sum 'Pa2 Be2 As2 O2'
_symmetry_space_group_name_H-M 'P 4/n m m'
_symmetry_Int_Tables_number 129
_cell_length_a 3.9099
_cell_length_b 3.9099
_cell_length_c 9.6610
_cell_angle_alpha 90.00
_cell_angle_beta 90.00
_cell_angle_gamma 90.00
loop_
_symmetry_equiv_pos_as_xyz
'x,y,z'
'-x,-y,-z'
'-y+1/2,x,z'
'y+1/2,-x,-z'
'-x+1/2,-y+1/2,z'
'x+1/2,y+1/2,-z'
'y,-x+1/2,z'
'-y,x+1/2,-z'
'x+1/2,-y,-z'
'-x+1/2,y,z'
'-y,-x,-z'
'y,x,z'
'-x,y+1/2,-z'
'x,-y+1/2,z'
'y+1/2,x+1/2,-z'
'-y+1/2,-x+1/2,z'
loop_
_atom_site_label
_atom_site_fract_x
_atom_site_fract_y
_atom_site_fract_z
Pa1 0.2500 0.7500 0.0000
Be1 0.2500 0.2500 0.4917
As1 0.2500 0.2500 0.2232
O1 0.2500 0.7500 0.5000
```

Output
Its crystal system is tetragonal. The value obtained for the magnetization is 0.0 μB per cell.

(Q)
DFT (PBE) results for PaBeAsO after structural relaxation.

The structure in CIF format:
```
data_PaBeAsO
_chemical_formula_sum 'Pa2 Be2 As2 O2'
_symmetry_space_group_name_H-M 'P m c 21'
_symmetry_Int_Tables_number 26
_symmetry_space_group_name_Hall 'P 2c -2'
_cell_length_a 3.9051
_cell_length_b 4.2123
_cell_length_c 7.2145
_cell_angle_alpha 90.00
_cell_angle_beta 90.00
_cell_angle_gamma 90.00
loop_
_atom_site_label
_atom_site_fract_x
_atom_site_fract_y
_atom_site_fract_z
Pa1 0.0000 0.2479 0.0000
Be1 0.5000 0.2539 0.3337
As1 0.5000 0.2510 0.6665
O1 0.0000 0.2465 0.3330
```

Output
Its crystal system is orthorhombic. The value obtained for the magnetization is 2.0 μB per cell.

(R)
DFT (PBE) results for PaBeAsO after structural relaxation.

The structure in CIF format:
```
data_PaBeAsO
_chemical_formula_sum 'Pa2 Be2 As2 O2'
_symmetry_space_group_name_H-M 'P 4/n m m'
_symmetry_Int_Tables_number 129
_cell_length_a 4.6268
_cell_length_b 4.6268
_cell_length_c 5.5882
_cell_angle_alpha 90.00
_cell_angle_beta 90.00
_cell_angle_gamma 90.00
loop_
_symmetry_equiv_pos_as_xyz
'x,y,z'
'-x,-y,-z'
'-y+1/2,x,z'
'y+1/2,-x,-z'
'-x+1/2,-y+1/2,z'
'x+1/2,y+1/2,-z'
'y,-x+1/2,z'
'-y,x+1/2,-z'
'x+1/2,-y,-z'
'-x+1/2,y,z'
'-y,-x,-z'
'y,x,z'
'-x,y+1/2,-z'
'x,-y+1/2,z'
'y+1/2,x+1/2,-z'
'-y+1/2,-x+1/2,z'
loop_
_atom_site_label
_atom_site_fract_x
_atom_site_fract_y
_atom_site_fract_z
Pa1 0.2500 0.7500 0.0000
Be1 0.2500 0.2500 0.3465
As1 0.2500 0.2500 0.7161
O1 0.2500 0.7500 0.5000
```

Output
Its crystal system is tetragonal. The value obtained for the magnetization is 0.0 μB per cell.

(S)
DFT (PBE) results for PaBeAsO after structural relaxation.

The structure in CIF format:
```
data_PaBeAsO
_chemical_formula_sum 'Pa2 Be2 As2 O2'
_symmetry_space_group_name_H-M 'P m c 21'
_symmetry_Int_Tables_number 26
_symmetry_space_group_name_Hall 'P 2c -2'
_cell_length_a 4.3033
_cell_length_b 6.0306
_cell_length_c 5.6857
_cell_angle_alpha 90.00
_cell_angle_beta 90.00
_cell_angle_gamma 90.00
loop_
_atom_site_label
_atom_site_fract_x
_atom_site_fract_y
_atom_site_fract_z
Pa1 0.0000 0.2449 0.0000
Be1 0.5000 0.3962 0.6428
As1 0.0000 0.2398 0.5040
O1 0.5000 0.3968 0.9450
```

Output
Its crystal system is orthorhombic. The value obtained for the magnetization is 2.6 μB per cell.

Relative energies, unit eV/atom: (P) 1.061; (Q) 0.000; (R) 1.351; (S) 0.090